CrBi2RuO | GGA+U | relaxed

Results
- DFT total energy: -26.48 eV per cell
- SG: P4/mmm (123)

Cell lengths 5.2197, 5.2197, 3.7802 Å; angles 90.00, 90.00, 90.00 degrees
Fractional positions:
Cr: 0.0000 0.0000 0.0000
Bi: 0.0000 0.5000 0.5000
Bi: 0.5000 0.0000 0.5000
Ru: 0.5000 0.5000 0.0000
O: 0.5000 0.5000 0.5000